(1)
Compound: PmLuMgBi
Source: Alexandria via LeMat-Bulk
Functional: GGA-PBE
Structure: relaxed Values from VASP.

Computed properties:
Magnetization ... 0.00 Bohr magnetons per cell
DFT formation energy ... -281 meV/atom
VASP energy ... -3.968 eV/atom
Space-group type ... F-43m, No. 216

The structure in Quantum ESPRESSO input format:
```
&SYSTEM
  ibrav = 0, nat = 4, ntyp = 4
/
ATOMIC_SPECIES
Pm 145.00 Pm.upf
Lu 174.97 Lu.upf
Mg 24.30 Mg.upf
Bi 208.98 Bi.upf
CELL_PARAMETERS angstrom
0.000 3.851 3.851
3.851 0.000 3.851
3.851 3.851 0.000
ATOMIC_POSITIONS crystal
Pm 0.000 0.000 0.000
Lu 0.500 0.500 0.500
Mg 0.750 0.750 0.750
Bi 0.250 0.250 0.250
```

(2)
Compound: UTe3Pb
Source: Alexandria via LeMat-Bulk
Functional: GGA-PBE
Structure: relaxed Values from VASP.

Computed properties:
Magnetization ... 4.00 Bohr magnetons per cell
VASP energy ... -5.359 eV/atom
Space-group type ... P2_1/m, No. 11
E_form (uncorrected) ... -0.47 eV per atom

The structure in Quantum ESPRESSO input format:
```
&SYSTEM
  ibrav = 0, nat = 10, ntyp = 3
/
ATOMIC_SPECIES
U 238.03 U.upf
Te 127.60 Te.upf
Pb 207.20 Pb.upf
CELL_PARAMETERS angstrom
8.223 0.000 0.000
0.000 4.480 0.000
-2.391 0.000 10.652
ATOMIC_POSITIONS crystal
U 0.135 0.250 0.164
U 0.865 0.750 0.836
Te 0.041 0.750 0.329
Te 0.220 0.750 0.997
Te 0.496 0.250 0.311
Te 0.504 0.750 0.689
Te 0.780 0.250 0.003
Te 0.959 0.250 0.671
Pb 0.287 0.250 0.529
Pb 0.713 0.750 0.471
```

(3)
Compound: ZrCoOs2
Source: Alexandria via LeMat-Bulk
Functional: GGA-PBE
Structure: relaxed Values from VASP.

Computed properties:
Magnetization ... 0.85 Bohr magnetons per cell
DFT formation energy ... 157 meV/atom
VASP energy ... -9.372 eV/atom
Space-group type ... P4mm, No. 99
Polymorph energy (0 for the lowest one) ... 0.77 eV per formula unit

The structure in Quantum ESPRESSO input format:
```
&SYSTEM
  ibrav = 0, nat = 4, ntyp = 3
/
ATOMIC_SPECIES
Zr 91.22 Zr.upf
Co 58.93 Co.upf
Os 190.23 Os.upf
CELL_PARAMETERS angstrom
3.228 0.000 0.000
0.000 3.228 0.000
0.000 0.000 5.909
ATOMIC_POSITIONS crystal
Zr 0.000 0.000 0.000
Co 0.500 0.500 0.272
Os 0.000 0.000 0.466
Os 0.500 0.500 0.710
```

(4)
Compound: BaCrPd2Se
Source: Alexandria via LeMat-Bulk
Functional: GGA-PBE
Structure: relaxed Values from VASP.

Computed properties:
Magnetization ... 5.11 Bohr magnetons per cell
VASP energy ... -3.765 eV/atom
Space-group type ... P4/mmm, No. 123
E_form (uncorrected) ... 1.32 eV per atom

The structure in Quantum ESPRESSO input format:
```
&SYSTEM
  ibrav = 0, nat = 5, ntyp = 4
/
ATOMIC_SPECIES
Ba 137.33 Ba.upf
Cr 52.00 Cr.upf
Pd 106.42 Pd.upf
Se 78.96 Se.upf
CELL_PARAMETERS angstrom
5.255 0.000 0.000
0.000 5.255 0.000
0.000 0.000 5.963
ATOMIC_POSITIONS crystal
Ba 0.000 0.000 0.000
Cr 0.000 0.000 0.500
Pd 0.000 0.500 0.000
Pd 0.500 0.000 0.000
Se 0.500 0.500 0.500
```